Entry 1:
Entry from Alexandria via LeMat-Bulk: PmDy2TmTl4 after structural relaxation (PBE-GGA).

Cell lengths 5.3819, 5.3819, 26.4723 Å; angles 90.00, 90.00, 120.00 degrees
Space group R-3m (No. 166, hexagonal axes)
Asymmetric unit:
Pm  0.0000  0.0000  0.0000 [3 per cell]
Dy  0.0000  0.0000  0.2491 [6 per cell]
Tm  0.0000  0.0000  0.5000 [3 per cell]
Tl  0.0000  0.0000  0.1264 [6 per cell]
Tl  0.0000  0.0000  0.3766 [6 per cell]

## Properties
The energy relative to the elements is -337 meV per atom. Its total energy is -0.28104 Ry per atom. The density of states at the Fermi level comes out at 19.85 states/eV/cell.


Entry 2:
Entry from Alexandria via LeMat-Bulk: DyPS4 after structural relaxation (PBE-GGA).

Cell lengths 8.954, 8.954, 7.158 Å; angles 90.00, 90.00, 90.00 degrees
Space group I4_1/amd (No. 141, origin choice 2)
Asymmetric unit:
Dy  0.000  0.250  0.375 [4 per cell]
P  0.000  0.250  0.875 [4 per cell]
S  0.000  0.074  0.689 [16 per cell]

## Properties
Its total energy is -0.39358 Ry per atom. Its uncorrected formation energy is -935 meV/atom.